# IrOsRu2

IrOsRu2 after structural relaxation (PBE-GGA, the Alexandria database).

Computed properties:
Mass density ... 17.140 g/cm3
Energy relative to the lowest polymorph listed for this composition ... 49 meV/atom
D(E_F) ... 3.726 states/eV/f.u.
Space group ... Cmmm
E_form ... 4.1 kJ/mol of atoms

abc: 4.7009 4.7009 2.7164
angles: 90.00 90.00 109.35
Closest atoms and distances in Å follow each position.
Atoms (fractional coordinates):
Os (0.0000, 0.5000, 0.5000)  8 Ru 2.71, 2 Os 2.72, 2 Ir 2.72
Ru (0.5000, 0.5000, 0.0000)  4 Ir 2.71, 4 Os 2.71, 4 Ru 2.72
Ir (0.5000, 0.0000, 0.5000)  8 Ru 2.71, 2 Ir 2.72, 2 Os 2.72
Ru (0.0000, 0.0000, 0.0000)  4 Os 2.71, 4 Ir 2.71, 4 Ru 2.72